[1]
Cs2H4Ru: relaxed, PBE.

Values from the calculation:
D(E_F) = 1.326 states/eV/f.u.
VASP energy = -3.469 eV/atom
space group = I4/mmm (139)
M_tot = 0.0 μB/f.u.

The structure in POSCAR format:
```
Cs2H4Ru
1.0
3.817 0.000 0.000
0.000 3.817 0.000
1.909 1.909 8.084
Cs Ru H
2 1 4
Direct
0.648 0.648 0.705
0.352 0.352 0.295
0.000 0.000 0.000
0.107 0.107 0.787
0.893 0.893 0.213
0.000 0.500 0.000
0.500 0.000 0.000
```

[2]
La4Zn3Ge: relaxed, PBE.

Values from the calculation:
D(E_F) = 8.786 states/eV/f.u.
VASP energy = -3.926 eV/atom
space group = P4/mmm (123)
M_tot = 0.0 μB/f.u.
energy relative to the elements = -39 kJ/mol of atoms

The structure in POSCAR format:
```
La4Zn3Ge
1.0
-3.034 1.937 -1.008
-2.183 -2.659 1.463
0.169 7.217 13.363
Zn Ge La
3 1 4
Direct
0.500 0.500 0.500
0.500 0.500 0.744
0.500 0.500 0.256
0.500 0.500 0.000
0.000 0.000 0.625
0.000 0.000 0.875
0.000 0.000 0.125
0.000 0.000 0.375
```

[3]
LiTi2Bi: relaxed, PBE.

Values from the calculation:
D(E_F) = 6.156 states/eV/f.u.
VASP energy = -5.079 eV/atom
space group = I-42d (122)
M_tot = 0.0 μB/f.u.
energy relative to the elements = 31 kJ/mol of atoms

The structure in POSCAR format:
```
LiTi2Bi
1.0
-1.494 -1.836 7.284
-0.833 -7.340 -2.021
1.441 -5.002 3.061
Ti Bi Li
4 2 2
Direct
0.875 0.866 0.750
0.134 0.625 0.250
0.375 0.384 0.750
0.616 0.125 0.250
0.750 0.250 0.500
0.000 0.000 0.000
0.500 0.500 0.000
0.250 0.750 0.500
```

[4]
Li2TlHPd: relaxed, PBE.

Values from the calculation:
D(E_F) = 0.965 states/eV/f.u.
VASP energy = -3.305 eV/atom
space group = P4/mmm (123)
M_tot = 0.0 μB/f.u.
offset from the most stable computed form = 0.000 eV per atom

The structure in POSCAR format:
```
Li2TlHPd
1.0
4.278 0.000 0.000
0.000 4.278 0.000
0.000 0.000 3.699
Tl Li Pd H
1 2 1 1
Direct
0.500 0.500 0.500
0.500 0.000 0.000
0.000 0.500 0.000
0.000 0.000 0.500
0.000 0.000 0.000
```

[5]
TlNi2Bi2: relaxed, PBE.

Values from the calculation:
D(E_F) = 3.473 states/eV/f.u.
VASP energy = -4.085 eV/atom
space group = I4/mmm (139)
M_tot = 0.0 μB/f.u.
offset from the most stable computed form = 0.104 eV per atom
energy relative to the elements = 24 kJ/mol of atoms

The structure in POSCAR format:
```
TlNi2Bi2
1.0
4.890 0.000 0.000
0.000 4.890 0.000
2.445 2.445 4.905
Ni Bi Tl
2 2 1
Direct
0.623 0.623 0.755
0.377 0.377 0.245
0.750 0.250 0.500
0.250 0.750 0.500
0.000 0.000 0.000
```

[6]
NiSb5: relaxed, PBE.

Values from the calculation:
D(E_F) = 2.436 states/eV/f.u.
VASP energy = -4.364 eV/atom
space group = Cmmm (65)
M_tot = 0.0 μB/f.u.
uncorrected formation energy = 20 kJ/mol of formula units
offset from the most stable computed form = 0.000 eV per atom

The structure in POSCAR format:
```
NiSb5
1.0
2.053 -7.249 0.000
2.053 7.249 0.000
0.000 0.000 5.627
Ni Sb
1 5
Direct
0.500 0.500 0.000
0.106 0.894 0.000
0.894 0.106 0.000
0.173 0.827 0.500
0.827 0.173 0.500
0.500 0.500 0.500
```